(1)
VASP calculation (PBE) on a relaxed structure of Tm4InPt.

The structure in POSCAR format:
```
Tm4InPt
1.0
7.4213 0.0000 0.0000
0.0000 6.9860 0.0000
-0.2301 0.0000 6.8591
Tm In Pt
8 2 2
Direct
0.1435 0.1605 0.1719
0.1435 0.3395 0.6719
0.3199 0.6411 0.1231
0.3199 0.8589 0.6231
0.6801 0.1411 0.3769
0.6801 0.3589 0.8769
0.8565 0.6605 0.3281
0.8565 0.8395 0.8281
0.5000 0.0000 0.0000
0.5000 0.5000 0.5000
0.0000 0.0000 0.5000
0.0000 0.5000 0.0000
```

The formation energy comes out at -0.44 eV per atom. The value obtained for the total energy is -58.7 eV/cell.

(2)
VASP calculation (PBE) on a relaxed structure of Tm2InPt9.

The structure in POSCAR format:
```
Tm2InPt9
1.0
4.0799 0.0000 0.0000
0.0000 4.0799 0.0000
0.0000 0.0000 12.2207
Tm In Pt
2 1 9
Direct
0.0000 0.0000 0.1673
0.0000 0.0000 0.8327
0.0000 0.0000 0.5000
0.0000 0.5000 0.0000
0.0000 0.5000 0.3350
0.0000 0.5000 0.6650
0.5000 0.0000 0.0000
0.5000 0.0000 0.3350
0.5000 0.0000 0.6650
0.5000 0.5000 0.1682
0.5000 0.5000 0.5000
0.5000 0.5000 0.8318
```

The formation energy comes out at -0.85 eV per atom. The value obtained for the total energy is -76.2 eV/cell.

(3)
VASP calculation (PBE) on a relaxed structure of Tm11In9Pt4.

The structure in POSCAR format:
```
Tm11In9Pt4
1.0
7.2651 -10.9196 0.0000
7.2651 10.9196 0.0000
0.0000 0.0000 3.6182
Tm In Pt
11 9 4
Direct
0.0000 0.0000 0.0000
0.0740 0.4148 0.0000
0.1597 0.8403 0.0000
0.3086 0.3086 0.0000
0.3724 0.6276 0.0000
0.4148 0.0740 0.0000
0.5852 0.9260 0.0000
0.6276 0.3724 0.0000
0.6914 0.6914 0.0000
0.8403 0.1597 0.0000
0.9260 0.5852 0.0000
0.0705 0.2147 0.5000
0.1547 0.6337 0.5000
0.2147 0.0705 0.5000
0.3663 0.8453 0.5000
0.5000 0.5000 0.5000
0.6337 0.1547 0.5000
0.7853 0.9295 0.5000
0.8453 0.3663 0.5000
0.9295 0.7853 0.5000
0.2465 0.4488 0.5000
0.4488 0.2465 0.5000
0.5512 0.7535 0.5000
0.7535 0.5512 0.5000
```

The formation energy comes out at -0.79 eV per atom. The value obtained for the total energy is -117.0 eV/cell.

(4)
VASP calculation (PBE) on a relaxed structure of TmInPt.

The structure in POSCAR format:
```
TmInPt
1.0
4.6574 0.0000 0.0000
-2.3287 4.0335 0.0000
0.0000 0.0000 3.4912
Tm In Pt
1 1 1
Direct
0.0000 0.0000 0.0000
0.3333 0.6667 0.5000
0.6667 0.3333 0.5000
```

The formation energy comes out at -0.81 eV per atom. The value obtained for the total energy is -15.7 eV/cell.